(1)
Material: Ce3Np3NbN8
Method: DFT, PBE-GGA
State: optimized geometry

Unit cell a=6.7941 b=6.7941 c=6.9415 alpha=119.30 beta=90.00 gamma=120.00
Last column: magnetic moment on the atom in μB.
Element x y z (fractional)
Ce: 0.0000 0.5000 0.0000  0.54
Ce: 0.0000 0.0000 0.0000  0.54
Ce: 0.5000 0.5000 0.0000  0.54
Nb: 0.0000 0.0000 0.5000  0.12
N: 0.2251 0.4503 0.7079  -0.09
N: 0.2424 0.0172 0.2921  -0.09
N: 0.2251 0.9828 0.7079  -0.09
N: 0.7576 0.9828 0.7079  -0.09
N: 0.7438 0.4876 0.7313  -0.11
N: 0.2562 0.5124 0.2687  -0.11
N: 0.7749 0.0172 0.2921  -0.09
N: 0.7749 0.5497 0.2921  -0.09
Np: 0.5000 0.5000 0.5000  2.97
Np: 0.5000 0.0000 0.5000  2.97
Np: 0.0000 0.5000 0.5000  2.97

Results
Symmetry: No. 166

=====

(2)
Material: Ag7Sb9O25
Method: DFT, PBE-GGA
State: optimized geometry

Unit cell a=7.3404 b=7.3404 c=12.7905 alpha=73.32 beta=73.32 gamma=60.00
Element x y z (fractional)
Sb: 0.4866 0.4866 0.5403
Sb: 0.5062 0.9972 0.4994
Sb: 0.2490 0.2490 0.2531
Sb: 0.7502 0.7502 0.7493
Sb: 0.9996 0.4995 0.0014
Sb: 0.9972 0.5062 0.4994
Sb: 0.4995 0.9996 0.0014
Sb: 0.4995 0.4995 0.0014
Sb: 0.9972 0.9972 0.4994
O: 0.8991 0.2781 0.5447
O: 0.2781 0.2781 0.5447
O: 0.2119 0.6132 0.9629
O: 0.4114 0.0129 0.1642
O: 0.7871 0.3861 0.0397
O: 0.2233 0.6567 0.4634
O: 0.3861 0.7871 0.0397
O: 0.4114 0.4114 0.1642
O: 0.5153 0.9118 0.6610
O: 0.6567 0.2233 0.4634
O: 0.6567 0.6567 0.4634
O: 0.9118 0.9118 0.6610
O: 0.5875 0.9865 0.8386
O: 0.0835 0.0835 0.3385
O: 0.5875 0.5875 0.8386
O: 0.2781 0.8991 0.5447
O: 0.8442 0.8442 0.4674
O: 0.9118 0.5153 0.6610
O: 0.9865 0.5875 0.8386
O: 0.2119 0.2119 0.9629
O: 0.6132 0.2119 0.9629
O: 0.4946 0.0835 0.3385
O: 0.0129 0.4114 0.1642
O: 0.0835 0.4946 0.3385
O: 0.7871 0.7871 0.0397
Ag: 0.6948 0.2808 0.7435
Ag: 0.2808 0.6948 0.7435
Ag: 0.9988 0.9988 0.0035
Ag: 0.3040 0.7185 0.2590
Ag: 0.7185 0.3040 0.2590
Ag: 0.2808 0.2808 0.7435
Ag: 0.7185 0.7185 0.2590

Results
Symmetry: No. 160

=====

(3)
Material: MgRe2O8
Method: DFT, PBE-GGA
State: optimized geometry

Unit cell a=8.3225 b=8.0978 c=8.3946 alpha=78.33 beta=60.28 gamma=59.08
Element x y z (fractional)
O: 0.7189 0.4609 0.6899
O: 0.3480 0.4400 0.6293
O: 0.0175 0.7420 0.0402
O: 0.1303 0.9609 0.1899
O: 0.8784 0.6777 0.8180
O: 0.6259 0.1777 0.3180
O: 0.4173 0.0600 0.8707
O: 0.6520 0.5600 0.3707
O: 0.3741 0.8223 0.6820
O: 0.5827 0.9400 0.1293
O: 0.2811 0.5391 0.3101
O: 0.8697 0.0391 0.8101
O: 0.7997 0.7580 0.4598
O: 0.2003 0.2420 0.5402
O: 0.9825 0.2580 0.9598
O: 0.1216 0.3223 0.1820
Mg: 0.0604 0.7500 0.2500
Mg: 0.9396 0.2500 0.7500
Re: 0.3652 0.3499 0.4484
Re: 0.8365 0.8499 0.9484
Re: 0.1635 0.1501 0.0516
Re: 0.6348 0.6501 0.5516

Results
Symmetry: No. 15

=====

(4)
Material: Tm3O
Method: DFT, PBE-GGA
State: optimized geometry

Unit cell a=3.2073 b=5.7540 c=5.8661 alpha=119.37 beta=105.87 gamma=90.00
Element x y z (fractional)
O: 0.0000 0.0691 0.0000
Tm: 0.3294 0.6990 0.6588
Tm: 0.6706 0.0402 0.3412
Tm: 0.5000 0.3583 0.0000

Results
Symmetry: No. 44

=====

It is found that the VASP energy values, taken in the order of the records, are -10.09 -5.43 -7.84 -5.70 eV per atom.
It is found that the formation energy (no corrections) values, taken in the order of the records, are -1.203 -1.013 -1.822 -1.102 eV/atom.